Below is a PBEsol-optimized structure of AgSbTe2P, with properties calculated at the SCAN level.

Summary:
calculated total energy: -150.09 eV per formula unit
crystal system: tetragonal
space group: P4/mmm (123)
energy relative to the elements, uncorrected: 3.44 eV per formula unit

abc: 5.1112 5.1112 5.2201
angles: 90.00 90.00 90.00
Sites, in units of the cell vectors:
Ag 0.0000 0.0000 0.0000
Sb 0.5000 0.5000 0.0000
Te 0.0000 0.5000 0.5000
Te 0.5000 0.0000 0.5000
P 0.5000 0.5000 0.5000



Below is a PBEsol-optimized structure of ScAgP2, with properties calculated at the SCAN level.

Summary:
calculated total energy: -67.37 eV per formula unit
crystal system: cubic
space group: Fm-3m (225)
formation energy from the elements: -23.5 kJ/mol of atoms

abc: 6.3970 6.3970 6.3970
angles: 90.00 90.00 90.00
Sites, in units of the cell vectors:
Sc 0.0000 0.0000 0.0000
Sc 0.0000 0.5000 0.5000
Sc 0.5000 0.0000 0.5000
Sc 0.5000 0.5000 0.0000
Ag 0.0000 0.0000 0.5000
Ag 0.0000 0.5000 0.0000
Ag 0.5000 0.0000 0.0000
Ag 0.5000 0.5000 0.5000
P 0.2500 0.2500 0.2500
P 0.2500 0.2500 0.7500
P 0.2500 0.7500 0.2500
P 0.2500 0.7500 0.7500
P 0.7500 0.2500 0.2500
P 0.7500 0.2500 0.7500
P 0.7500 0.7500 0.2500
P 0.7500 0.7500 0.7500



Below is a PBEsol-optimized structure of ScAg2P, with properties calculated at the SCAN level.

Summary:
calculated total energy: -88.95 eV per formula unit
crystal system: tetragonal
space group: P4mm (99)
formation energy from the elements: -38.2 kJ/mol of atoms
excess energy over the best structure of this formula in the dataset: 0.100 eV per atom

abc: 3.5235 3.5235 5.8924
angles: 90.00 90.00 90.00
Sites, in units of the cell vectors:
Sc 0.0000 0.0000 0.0000
Ag 0.0000 0.0000 0.5153
Ag 0.5000 0.5000 0.3214
P 0.5000 0.5000 0.8799



Below is a PBEsol-optimized structure of ScAgP2, with properties calculated at the SCAN level.

Summary:
calculated total energy: -67.87 eV per formula unit
crystal system: tetragonal
space group: P4/mmm (123)
formation energy from the elements: -35.5 kJ/mol of atoms

abc: 3.4636 3.4636 5.7371
angles: 90.00 90.00 90.00
Sites, in units of the cell vectors:
Sc 0.0000 0.0000 0.0000
Ag 0.0000 0.0000 0.5000
P 0.5000 0.5000 0.1988
P 0.5000 0.5000 0.8012



Below is a PBEsol-optimized structure of ScAg2P, with properties calculated at the SCAN level.

Summary:
calculated total energy: -89.35 eV per formula unit
crystal system: tetragonal
space group: P4/mmm (123)
formation energy from the elements: -47.8 kJ/mol of atoms
excess energy over the best structure of this formula in the dataset: 0.000 eV per atom

abc: 3.7733 3.7733 4.7980
angles: 90.00 90.00 90.00
Sites, in units of the cell vectors:
Sc 0.0000 0.0000 0.0000
Ag 0.0000 0.5000 0.5000
Ag 0.5000 0.0000 0.5000
P 0.5000 0.5000 0.0000



Below is a PBEsol-optimized structure of ScAg2P, with properties calculated at the SCAN level.

Summary:
calculated total energy: -89.30 eV per formula unit
crystal system: orthorhombic
space group: Cmmm (65)
formation energy from the elements: -46.6 kJ/mol of atoms
excess energy over the best structure of this formula in the dataset: 0.012 eV per atom

abc: 5.3183 5.3313 5.0251
angles: 90.00 90.00 90.00
Sites, in units of the cell vectors:
Sc 0.0000 0.0000 0.0000
Sc 0.5000 0.5000 0.0000
Ag 0.0000 0.2537 0.5000
Ag 0.0000 0.7463 0.5000
Ag 0.5000 0.2463 0.5000
Ag 0.5000 0.7537 0.5000
P 0.0000 0.5000 0.0000
P 0.5000 0.0000 0.0000



Below is a PBEsol-optimized structure of ScAg3P, with properties calculated at the SCAN level.

Summary:
calculated total energy: -117.18 eV per formula unit
crystal system: cubic
space group: Pm-3m (221)
formation energy from the elements: 30.1 kJ/mol of atoms

abc: 4.6446 4.6446 4.6446
angles: 90.00 90.00 90.00
Sites, in units of the cell vectors:
Sc 0.0000 0.0000 0.0000
Ag 0.0000 0.5000 0.5000
Ag 0.5000 0.0000 0.5000
Ag 0.5000 0.5000 0.0000
P 0.5000 0.5000 0.5000



Below is a PBEsol-optimized structure of ScAgP2Se6, with properties calculated at the SCAN level.

Summary:
calculated total energy: -193.03 eV per formula unit
crystal system: trigonal
space group: P-31c (163)
energy relative to the elements, uncorrected: -6.15 eV per formula unit

abc: 6.3980 6.3980 13.3777
angles: 90.00 90.00 120.00
Sites, in units of the cell vectors:
Sc 0.0000 0.0000 0.2500
Sc 0.0000 0.0000 0.7500
Ag 0.3333 0.6667 0.2500
Ag 0.6667 0.3333 0.7500
P 0.3333 0.6667 0.6665
P 0.3333 0.6667 0.8335
P 0.6667 0.3333 0.1665
P 0.6667 0.3333 0.3335
Se 0.0158 0.3262 0.8814
Se 0.0158 0.6896 0.6186
Se 0.3104 0.3262 0.6186
Se 0.3104 0.9842 0.8814
Se 0.3262 0.0158 0.3814
Se 0.3262 0.3104 0.1186
Se 0.6738 0.6896 0.8814
Se 0.6738 0.9842 0.6186
Se 0.6896 0.0158 0.1186
Se 0.6896 0.6738 0.3814
Se 0.9842 0.3104 0.3814
Se 0.9842 0.6738 0.1186



Below is a PBEsol-optimized structure of Ag3PSe, with properties calculated at the SCAN level.

Summary:
calculated total energy: -122.76 eV per formula unit
crystal system: cubic
space group: Pm-3m (221)
energy relative to the elements, uncorrected: 1.82 eV per formula unit

abc: 4.6894 4.6894 4.6894
angles: 90.00 90.00 90.00
Sites, in units of the cell vectors:
Ag 0.0000 0.0000 0.5000
Ag 0.0000 0.5000 0.0000
Ag 0.5000 0.0000 0.0000
P 0.0000 0.0000 0.0000
Se 0.5000 0.5000 0.5000



Below is a PBEsol-optimized structure of Ag2PSe, with properties calculated at the SCAN level.

Summary:
calculated total energy: -92.09 eV per formula unit
crystal system: orthorhombic
space group: Pmm2 (25)
energy relative to the elements, uncorrected: 1.12 eV per formula unit
excess energy over the best structure of this formula in the dataset: 0.000 eV per atom

abc: 2.7797 3.9405 6.6676
angles: 90.00 90.00 90.00
Sites, in units of the cell vectors:
Ag 0.0000 0.0000 0.0000
Ag 0.5000 0.5000 0.2581
P 0.0000 0.0000 0.4040
Se 0.5000 0.5000 0.7768



Below is a PBEsol-optimized structure of Ag2PSe, with properties calculated at the SCAN level.

Summary:
calculated total energy: -91.60 eV per formula unit
crystal system: orthorhombic
space group: Immm (71)
energy relative to the elements, uncorrected: 1.61 eV per formula unit
excess energy over the best structure of this formula in the dataset: 0.122 eV per atom

abc: 3.5607 4.6439 8.4397
angles: 90.00 90.00 90.00
Sites, in units of the cell vectors:
Ag 0.0000 0.0000 0.2390
Ag 0.0000 0.0000 0.7610
Ag 0.5000 0.5000 0.2610
Ag 0.5000 0.5000 0.7390
P 0.0000 0.5000 0.5000
P 0.5000 0.0000 0.0000
Se 0.0000 0.5000 0.0000
Se 0.5000 0.0000 0.5000



Below is a PBEsol-optimized structure of TaAg2PSe, with properties calculated at the SCAN level.

Summary:
calculated total energy: -153.91 eV per formula unit
crystal system: tetragonal
space group: P4/mmm (123)
energy relative to the elements, uncorrected: 5.88 eV per formula unit

abc: 5.1656 5.1656 4.6055
angles: 90.00 90.00 90.00
Sites, in units of the cell vectors:
Ta 0.0000 0.0000 0.0000
Ag 0.0000 0.5000 0.0000
Ag 0.5000 0.0000 0.0000
P 0.0000 0.0000 0.5000
Se 0.5000 0.5000 0.5000